No. 1
# YAlGa2 | Alexandria | PBE | relaxed
data_YAlGa2
_chemical_formula_sum 'Y1 Al1 Ga2'
_space_group_name_H-M_alt 'P 4/m m m'
_space_group_IT_number 123
_space_group_name_Hall '-P 4 2'
_cell_length_a 4.3075
_cell_length_b 4.3075
_cell_length_c 4.2040
_cell_angle_alpha 90.00
_cell_angle_beta 90.00
_cell_angle_gamma 90.00
loop_
_atom_site_label
_atom_site_type_symbol
_atom_site_fract_x
_atom_site_fract_y
_atom_site_fract_z
Y1 Y 0.0000 0.0000 0.0000
Al1 Al 0.5000 0.5000 0.0000
Ga1 Ga 0.0000 0.5000 0.5000
# ρ = 5.44 Mg/m³
# Formation enthalpy at 0 K = -0.49 eV per atom
# Magnetization = 0.00 μB/f.u.



No. 2
# TaInP | Alexandria | PBE | relaxed
data_TaInP
_chemical_formula_sum 'Ta1 In1 P1'
_space_group_name_H-M_alt 'P 3 m 1'
_space_group_IT_number 156
_cell_length_a 3.2971
_cell_length_b 3.2971
_cell_length_c 6.2781
_cell_angle_alpha 90.00
_cell_angle_beta 90.00
_cell_angle_gamma 120.00
loop_
_space_group_symop_operation_xyz
'x,y,z'
'-y,x-y,z'
'-x+y,-x,z'
'-y,-x,z'
'-x+y,y,z'
'x,x-y,z'
loop_
_atom_site_label
_atom_site_type_symbol
_atom_site_fract_x
_atom_site_fract_y
_atom_site_fract_z
Ta1 Ta 0.0000 0.0000 0.0000
In1 In 0.6667 0.3333 0.3765
P1 P 0.3333 0.6667 0.7527
# Relative energy among the computed polymorphs = 0.201 eV per atom
# ρ = 9.18 Mg/m³
# Formation enthalpy at 0 K = -0.05 eV per atom
# Magnetization = 0.00 μB/f.u.



No. 3
# HfPaGa2 | Alexandria | PBE | relaxed
data_HfPaGa2
_chemical_formula_sum 'Hf1 Pa1 Ga2'
_space_group_name_H-M_alt 'P 4/m m m'
_space_group_IT_number 123
_space_group_name_Hall '-P 4 2'
_cell_length_a 4.4327
_cell_length_b 4.4327
_cell_length_c 4.1942
_cell_angle_alpha 90.00
_cell_angle_beta 90.00
_cell_angle_gamma 90.00
loop_
_atom_site_label
_atom_site_type_symbol
_atom_site_fract_x
_atom_site_fract_y
_atom_site_fract_z
Hf1 Hf 0.0000 0.0000 0.0000
Pa1 Pa 0.5000 0.5000 0.0000
Ga1 Ga 0.0000 0.5000 0.5000
# Relative energy among the computed polymorphs = 0.091 eV per atom
# ρ = 11.06 Mg/m³
# Formation enthalpy at 0 K = -0.23 eV per atom
# Magnetization = 0.00 μB/f.u.



No. 4
# Zr2ZnRe | Alexandria | PBE | relaxed
data_Zr2ZnRe
_chemical_formula_sum 'Zr2 Zn1 Re1'
_space_group_name_H-M_alt 'P 4 m m'
_space_group_IT_number 99
_cell_length_a 3.4262
_cell_length_b 3.4262
_cell_length_c 6.2417
_cell_angle_alpha 90.00
_cell_angle_beta 90.00
_cell_angle_gamma 90.00
loop_
_space_group_symop_operation_xyz
'x,y,z'
'-y,x,z'
'-x,-y,z'
'y,-x,z'
'-x,y,z'
'y,x,z'
'x,-y,z'
'-y,-x,z'
loop_
_atom_site_label
_atom_site_type_symbol
_atom_site_fract_x
_atom_site_fract_y
_atom_site_fract_z
Zr1 Zr 0.0000 0.0000 0.0000
Zr2 Zr 0.5000 0.5000 0.3066
Zn1 Zn 0.5000 0.5000 0.7582
Re1 Re 0.0000 0.0000 0.5495
# ρ = 9.84 Mg/m³
# Formation enthalpy at 0 K = -0.01 eV per atom
# Magnetization = 0.00 μB/f.u.



No. 5
# Ac2EuAg | Alexandria | PBE | relaxed
data_Ac2EuAg
_chemical_formula_sum 'Ac2 Eu1 Ag1'
_space_group_name_H-M_alt 'P 4/m m m'
_space_group_IT_number 123
_space_group_name_Hall '-P 4 2'
_cell_length_a 5.8802
_cell_length_b 5.8802
_cell_length_c 4.1215
_cell_angle_alpha 90.00
_cell_angle_beta 90.00
_cell_angle_gamma 90.00
loop_
_atom_site_label
_atom_site_type_symbol
_atom_site_fract_x
_atom_site_fract_y
_atom_site_fract_z
Ac1 Ac 0.0000 0.5000 0.0000
Eu1 Eu 0.0000 0.0000 0.5000
Ag1 Ag 0.5000 0.5000 0.5000
# Relative energy among the computed polymorphs = 0.101 eV per atom
# ρ = 8.32 Mg/m³
# Formation enthalpy at 0 K = 0.01 eV per atom
# Magnetization = 7.60 μB/f.u.



No. 6
# AcSbSe | Alexandria | PBE | relaxed
data_AcSbSe
_chemical_formula_sum 'Ac4 Sb4 Se4'
_space_group_name_H-M_alt 'P n m a'
_space_group_IT_number 62
_cell_length_a 19.2235
_cell_length_b 4.3749
_cell_length_c 4.4101
_cell_angle_alpha 90.00
_cell_angle_beta 90.00
_cell_angle_gamma 90.00
loop_
_space_group_symop_operation_xyz
'x,y,z'
'-x,-y,-z'
'-x+1/2,-y,z+1/2'
'x+1/2,y,-z+1/2'
'x+1/2,-y+1/2,-z+1/2'
'-x+1/2,y+1/2,z+1/2'
'-x,y+1/2,-z'
'x,-y+1/2,z'
loop_
_atom_site_label
_atom_site_type_symbol
_atom_site_fract_x
_atom_site_fract_y
_atom_site_fract_z
Ac1 Ac 0.1487 0.2500 0.2385
Sb1 Sb 0.0011 0.2500 0.7243
Se1 Se 0.1855 0.7500 0.7401
# Relative energy among the computed polymorphs = 0.000 eV per atom
# ρ = 7.66 Mg/m³
# E_form (uncorrected) = -1.51 eV/atom
# Magnetization = 0.00 μB/f.u.



No. 7
# DyHoI | Alexandria | PBE | relaxed
data_DyHoI
_chemical_formula_sum 'Dy2 Ho2 I2'
_space_group_name_H-M_alt 'I 4 m m'
_space_group_IT_number 107
_space_group_name_Hall 'I 4 -2'
_cell_length_a 3.6724
_cell_length_b 3.6724
_cell_length_c 13.8190
_cell_angle_alpha 90.00
_cell_angle_beta 90.00
_cell_angle_gamma 90.00
loop_
_atom_site_label
_atom_site_type_symbol
_atom_site_fract_x
_atom_site_fract_y
_atom_site_fract_z
Dy1 Dy 0.0000 0.0000 0.0000
Ho1 Ho 0.0000 0.0000 0.6676
I1 I 0.0000 0.0000 0.3333
# Relative energy among the computed polymorphs = 0.110 eV per atom
# ρ = 8.10 Mg/m³
# E_form (uncorrected) = -0.40 eV/atom
# Magnetization = 0.00 μB/f.u.



No. 8
# Ta2CrOs | Alexandria | PBE | relaxed
data_Ta2CrOs
_chemical_formula_sum 'Ta6 Cr3 Os3'
_space_group_name_H-M_alt 'R 3 m'
_space_group_IT_number 160
_space_group_name_Hall 'R 3 -2"'
_cell_length_a 2.9295
_cell_length_b 2.9295
_cell_length_c 25.9325
_cell_angle_alpha 90.00
_cell_angle_beta 90.00
_cell_angle_gamma 120.00
loop_
_atom_site_label
_atom_site_type_symbol
_atom_site_fract_x
_atom_site_fract_y
_atom_site_fract_z
Ta1 Ta 0.0000 0.0000 0.0000
Ta2 Ta 0.0000 0.0000 0.2397
Cr1 Cr 0.0000 0.0000 0.4920
Os1 Os 0.0000 0.0000 0.7523
# Relative energy among the computed polymorphs = 0.566 eV per atom
# ρ = 15.62 Mg/m³
# Formation enthalpy at 0 K = 0.26 eV per atom
# Magnetization = 0.42 μB/f.u.



No. 9
# ReTc2Hg | Alexandria | PBE | relaxed
data_ReTc2Hg
_chemical_formula_sum 'Re2 Tc4 Hg2'
_space_group_name_H-M_alt 'C m m m'
_space_group_IT_number 65
_space_group_name_Hall '-C 2 2'
_cell_length_a 2.9483
_cell_length_b 4.6614
_cell_length_c 9.5412
_cell_angle_alpha 90.00
_cell_angle_beta 90.00
_cell_angle_gamma 90.00
loop_
_atom_site_label
_atom_site_type_symbol
_atom_site_fract_x
_atom_site_fract_y
_atom_site_fract_z
Re1 Re 0.0000 0.0000 0.0000
Tc1 Tc 0.0000 0.5000 0.2293
Hg1 Hg 0.0000 0.0000 0.5000
# ρ = 14.76 Mg/m³
# Formation enthalpy at 0 K = 0.50 eV per atom
# Magnetization = 0.00 μB/f.u.



No. 10
# HfCo2HOs | Alexandria | PBE | relaxed
data_HfCo2HOs
_chemical_formula_sum 'Hf1 Co2 H1 Os1'
_space_group_name_H-M_alt 'P 4/m m m'
_space_group_IT_number 123
_space_group_name_Hall '-P 4 2'
_cell_length_a 3.7596
_cell_length_b 3.7596
_cell_length_c 4.0255
_cell_angle_alpha 90.00
_cell_angle_beta 90.00
_cell_angle_gamma 90.00
loop_
_atom_site_label
_atom_site_type_symbol
_atom_site_fract_x
_atom_site_fract_y
_atom_site_fract_z
Hf1 Hf 0.0000 0.0000 0.0000
Co1 Co 0.0000 0.5000 0.5000
H1 H 0.0000 0.0000 0.5000
Os1 Os 0.5000 0.5000 0.0000
# Relative energy among the computed polymorphs = 0.038 eV per atom
# ρ = 14.23 Mg/m³
# Magnetization = 0.00 μB/f.u.



No. 11
# BaZrNi2 | Alexandria | PBE | relaxed
data_BaZrNi2
_chemical_formula_sum 'Ba4 Zr4 Ni8'
_space_group_name_H-M_alt 'F m -3 m'
_space_group_IT_number 225
_space_group_name_Hall '-F 4 2 3'
_cell_length_a 6.9386
_cell_length_b 6.9386
_cell_length_c 6.9386
_cell_angle_alpha 90.00
_cell_angle_beta 90.00
_cell_angle_gamma 90.00
loop_
_atom_site_label
_atom_site_type_symbol
_atom_site_fract_x
_atom_site_fract_y
_atom_site_fract_z
Ba1 Ba 0.0000 0.0000 0.0000
Zr1 Zr 0.0000 0.0000 0.5000
Ni1 Ni 0.2500 0.2500 0.2500
# Relative energy among the computed polymorphs = 0.462 eV per atom
# ρ = 6.88 Mg/m³
# Formation enthalpy at 0 K = 0.37 eV per atom
# Magnetization = 0.00 μB/f.u.



No. 12
# Ho3Ga5Pd6 | Alexandria | PBE | relaxed
data_Ho3Ga5Pd6
_chemical_formula_sum 'Ho6 Ga10 Pd12'
_space_group_name_H-M_alt 'P m m n'
_space_group_IT_number 59
_cell_length_a 4.3440
_cell_length_b 13.0461
_cell_length_c 8.9432
_cell_angle_alpha 90.00
_cell_angle_beta 90.00
_cell_angle_gamma 90.00
loop_
_space_group_symop_operation_xyz
'x,y,z'
'-x,-y,-z'
'-x+1/2,-y+1/2,z'
'x+1/2,y+1/2,-z'
'x+1/2,-y,-z'
'-x+1/2,y,z'
'-x,y+1/2,-z'
'x,-y+1/2,z'
loop_
_atom_site_label
_atom_site_type_symbol
_atom_site_fract_x
_atom_site_fract_y
_atom_site_fract_z
Ho1 Ho 0.2500 0.0528 0.2454
Ho2 Ho 0.2500 0.7500 0.2362
Ga1 Ga 0.2500 0.0927 0.8749
Ga2 Ga 0.2500 0.6323 0.5309
Ga3 Ga 0.2500 0.7500 0.7850
Pd1 Pd 0.2500 0.0622 0.5941
Pd2 Pd 0.2500 0.2500 0.0489
Pd3 Pd 0.2500 0.2500 0.4178
Pd4 Pd 0.2500 0.5993 0.9775
# ρ = 9.71 Mg/m³
# Formation enthalpy at 0 K = -0.82 eV per atom
# Magnetization = 0.00 μB/f.u.